Record 1
DFT (PBE) results for Mn5P3 after structural relaxation.

Unit cell a=8.956 b=6.959 c=5.872 alpha=90.00 beta=90.00 gamma=90.00
Space group Pnma (No. 62)
Symmetry-distinct sites (fractional):
Mn  0.020  0.250  0.036
Mn  0.090  0.042  0.683
Mn  0.189  0.750  0.338
Mn  0.245  0.250  0.329
P  0.003  0.750  0.586
P  0.166  0.508  0.063

Output
For the energy, the calculation gives -0.6045 Ry/atom.

Record 2
DFT (PBE) results for MnP after structural relaxation.

Unit cell a=2.7177 b=2.7177 c=10.5150 alpha=90.00 beta=90.00 gamma=120.00
Space group R-3m (No. 166, hexagonal axes)
Symmetry-distinct sites (fractional):
Mn  0.0000  0.0000  0.0000
P  0.0000  0.0000  0.5000

Output
For the energy, the calculation gives -0.5504 Ry/atom.

Record 3
DFT (PBE) results for MnP2 after structural relaxation.

Unit cell a=5.082 b=5.786 c=2.727 alpha=90.00 beta=90.00 gamma=90.00
Space group Pnnm (No. 58)
Symmetry-distinct sites (fractional):
Mn  0.000  0.000  0.000
P  0.172  0.373  0.000

Output
For the energy, the calculation gives -0.5210 Ry/atom.

Record 4
DFT (PBE) results for MnP2 after structural relaxation.

Unit cell a=7.131 b=7.131 c=7.131 alpha=90.00 beta=90.00 gamma=90.00
Space group Fd-3m (No. 227, origin choice 2)
Symmetry-distinct sites (fractional):
Mn  0.125  0.125  0.125
P  0.000  0.000  0.500

Output
For the energy, the calculation gives -0.4423 Ry/atom.